Th4CuPt after structural relaxation, computed with PBE.

abc: 5.834 7.348 7.348
angles: 90.00 90.00 90.00
Element x y z (fractional)
Th: 0.500 0.338 0.838
Th: 0.500 0.162 0.338
Th: 0.500 0.838 0.662
Th: 0.000 0.662 0.838
Th: 0.500 0.662 0.162
Th: 0.000 0.338 0.162
Th: 0.000 0.838 0.338
Th: 0.000 0.162 0.662
Cu: 0.750 0.500 0.500
Cu: 0.250 0.500 0.500
Pt: 0.750 0.000 0.000
Pt: 0.250 0.000 0.000

DFT total energy: -84.73 eV/cell
calculated formation energy: -425 meV/atom

=====

Th6CuPt5 after structural relaxation, computed with PBE.

abc: 7.321 7.321 7.607
angles: 99.87 99.87 124.41
Element x y z (fractional)
Pt: 0.833 0.167 0.500
Pt: 0.335 0.665 0.000
Pt: 0.500 0.500 0.500
Pt: 0.665 0.335 0.000
Pt: 0.167 0.833 0.500
Th: 0.918 0.581 0.748
Th: 0.581 0.918 0.748
Th: 0.748 0.748 0.253
Th: 0.419 0.082 0.252
Th: 0.252 0.252 0.747
Th: 0.082 0.419 0.252
Cu: 0.000 0.000 0.000

DFT total energy: -90.30 eV/cell
calculated formation energy: -956 meV/atom

=====

ThCuPt2 after structural relaxation, computed with PBE.

abc: 4.812 4.812 4.812
angles: 60.00 60.00 60.00
Element x y z (fractional)
Pt: 0.750 0.750 0.750
Pt: 0.250 0.250 0.250
Cu: 0.500 0.500 0.500
Th: 0.000 0.000 0.000

DFT total energy: -26.39 eV/cell
calculated formation energy: -697 meV/atom

=====

ThCuPt2 after structural relaxation, computed with PBE.

abc: 5.525 7.332 7.374
angles: 90.00 90.00 90.00
Element x y z (fractional)
Th: 0.627 0.750 0.968
Th: 0.873 0.750 0.468
Th: 0.373 0.250 0.032
Th: 0.127 0.250 0.532
Cu: 0.863 0.250 0.888
Cu: 0.137 0.750 0.112
Cu: 0.637 0.250 0.388
Cu: 0.363 0.750 0.612
Pt: 0.092 0.550 0.815
Pt: 0.092 0.950 0.815
Pt: 0.408 0.950 0.315
Pt: 0.592 0.050 0.685
Pt: 0.908 0.050 0.185
Pt: 0.592 0.450 0.685
Pt: 0.908 0.450 0.185
Pt: 0.408 0.550 0.315

DFT total energy: -108.42 eV/cell
calculated formation energy: -877 meV/atom